(1)
HoCdInPd after structural relaxation. Source: Alexandria, functional PBE-GGA.

Summary:
Total magnetic moment: 0.0 μB per formula unit
Energy of formation: -529 meV/atom
Space-group type: F-43m (216)

Cell lengths 4.9236, 4.9236, 4.9236 Å; angles 60.00, 60.00, 60.00 degrees
Fractional positions:
Ho1 0.0000 0.0000 0.0000
Cd1 0.7500 0.7500 0.7500
In1 0.5000 0.5000 0.5000
Pd1 0.2500 0.2500 0.2500



(2)
Pm2HoCd2In2 after structural relaxation. Source: Alexandria, functional PBE-GGA.

Summary:
Total magnetic moment: 0.0 μB per formula unit
Energy of formation: -266 meV/atom
Space-group type: R-3m (166)

Cell lengths 9.5701, 9.5701, 9.5701 Å; angles 29.98, 29.98, 29.98 degrees
Fractional positions:
Pm1 0.1274 0.1274 0.1274
Pm2 0.8726 0.8726 0.8726
Ho1 0.0000 0.0000 0.0000
Cd1 0.3927 0.3927 0.3927
Cd2 0.6073 0.6073 0.6073
In1 0.2626 0.2626 0.2626
In2 0.7374 0.7374 0.7374



(3)
PrHo2Cd2In2 after structural relaxation. Source: Alexandria, functional PBE-GGA.

Summary:
Total magnetic moment: 0.0 μB per formula unit
Energy of formation: -271 meV/atom
Space-group type: R-3m (166)

Cell lengths 9.4613, 9.4613, 9.4613 Å; angles 30.48, 30.48, 30.48 degrees
Fractional positions:
Pr1 0.0000 0.0000 0.0000
Ho1 0.1297 0.1297 0.1297
Ho2 0.8703 0.8703 0.8703
Cd1 0.4077 0.4077 0.4077
Cd2 0.5923 0.5923 0.5923
In1 0.2577 0.2577 0.2577
In2 0.7423 0.7423 0.7423



(4)
Pr2HoCd2In2 after structural relaxation. Source: Alexandria, functional PBE-GGA.

Summary:
Total magnetic moment: 0.0 μB per formula unit
Energy of formation: -275 meV/atom
Space-group type: R-3m (166)

Cell lengths 9.6773, 9.6773, 9.6773 Å; angles 29.74, 29.74, 29.74 degrees
Fractional positions:
Pr1 0.1273 0.1273 0.1273
Pr2 0.8727 0.8727 0.8727
Ho1 0.0000 0.0000 0.0000
Cd1 0.3911 0.3911 0.3911
Cd2 0.6089 0.6089 0.6089
In1 0.2643 0.2643 0.2643
In2 0.7357 0.7357 0.7357



(5)
PrHoCdIn after structural relaxation. Source: Alexandria, functional PBE-GGA.

Summary:
Total magnetic moment: 0.0 μB per formula unit
Energy of formation: -400 meV/atom
Space-group type: F-43m (216)

Cell lengths 5.4017, 5.4017, 5.4017 Å; angles 60.00, 60.00, 60.00 degrees
Fractional positions:
Pr1 0.0000 0.0000 0.0000
Ho1 0.5000 0.5000 0.5000
Cd1 0.7500 0.7500 0.7500
In1 0.2500 0.2500 0.2500



(6)
HoPuCdIn after structural relaxation. Source: Alexandria, functional PBE-GGA.

Summary:
Total magnetic moment: 6.3 μB per formula unit
Energy of formation: -198 meV/atom
Space-group type: F-43m (216)

Cell lengths 5.3300, 5.3300, 5.3300 Å; angles 60.00, 60.00, 60.00 degrees
Fractional positions:
Ho1 0.0000 0.0000 0.0000
Pu1 0.5000 0.5000 0.5000
Cd1 0.2500 0.2500 0.2500
In1 0.7500 0.7500 0.7500



(7)
HoCdInRu after structural relaxation. Source: Alexandria, functional PBE-GGA.

Summary:
Total magnetic moment: 0.0 μB per formula unit
Energy of formation: -107 meV/atom
Space-group type: F-43m (216)

Cell lengths 4.8697, 4.8697, 4.8697 Å; angles 60.00, 60.00, 60.00 degrees
Fractional positions:
Ho1 0.0000 0.0000 0.0000
Cd1 0.2500 0.2500 0.2500
In1 0.5000 0.5000 0.5000
Ru1 0.7500 0.7500 0.7500



(8)
HoScCdIn after structural relaxation. Source: Alexandria, functional PBE-GGA.

Summary:
Total magnetic moment: 0.0 μB per formula unit
Energy of formation: -381 meV/atom
Space-group type: F-43m (216)

Cell lengths 5.1521, 5.1521, 5.1521 Å; angles 60.00, 60.00, 60.00 degrees
Fractional positions:
Ho1 0.0000 0.0000 0.0000
Sc1 0.5000 0.5000 0.5000
Cd1 0.7500 0.7500 0.7500
In1 0.2500 0.2500 0.2500



(9)
Sm2HoCd2In2 after structural relaxation. Source: Alexandria, functional PBE-GGA.

Summary:
Total magnetic moment: 0.0 μB per formula unit
Energy of formation: -261 meV/atom
Space-group type: R-3m (166)

Cell lengths 9.5268, 9.5268, 9.5268 Å; angles 30.10, 30.10, 30.10 degrees
Fractional positions:
Sm1 0.1275 0.1275 0.1275
Sm2 0.8725 0.8725 0.8725
Ho1 0.0000 0.0000 0.0000
Cd1 0.3931 0.3931 0.3931
Cd2 0.6069 0.6069 0.6069
In1 0.2618 0.2618 0.2618
In2 0.7382 0.7382 0.7382



(10)
SmHo2Cd2In2 after structural relaxation. Source: Alexandria, functional PBE-GGA.

Summary:
Total magnetic moment: 0.0 μB per formula unit
Energy of formation: -258 meV/atom
Space-group type: R-3m (166)

Cell lengths 9.4141, 9.4141, 9.4141 Å; angles 30.49, 30.49, 30.49 degrees
Fractional positions:
Sm1 0.0000 0.0000 0.0000
Ho1 0.1288 0.1288 0.1288
Ho2 0.8712 0.8712 0.8712
Cd1 0.4003 0.4003 0.4003
Cd2 0.5997 0.5997 0.5997
In1 0.2575 0.2575 0.2575
In2 0.7425 0.7425 0.7425



(11)
HoCd2InSn after structural relaxation. Source: Alexandria, functional PBE-GGA.

Summary:
Total magnetic moment: 0.0 μB per formula unit
Energy of formation: -191 meV/atom
Space-group type: Cmcm (63)

Cell lengths 6.1617, 6.1617, 9.4611 Å; angles 90.00, 90.00, 135.76 degrees
Fractional positions:
Ho1 0.0534 0.9466 0.7500
Ho2 0.9466 0.0534 0.2500
Cd1 0.2414 0.7586 0.0901
Cd2 0.2414 0.7586 0.4099
Cd3 0.7586 0.2414 0.5901
Cd4 0.7586 0.2414 0.9099
In1 0.3378 0.6622 0.7500
In2 0.6622 0.3378 0.2500
Sn1 0.5000 0.5000 0.0000
Sn2 0.5000 0.5000 0.5000



(12)
TbHo2Cd2In2 after structural relaxation. Source: Alexandria, functional PBE-GGA.

Summary:
Total magnetic moment: 0.0 μB per formula unit
Energy of formation: -245 meV/atom
Space-group type: R-3m (166)

Cell lengths 9.3474, 9.3474, 9.3474 Å; angles 30.62, 30.62, 30.62 degrees
Fractional positions:
Tb1 0.0000 0.0000 0.0000
Ho1 0.1283 0.1283 0.1283
Ho2 0.8717 0.8717 0.8717
Cd1 0.3966 0.3966 0.3966
Cd2 0.6034 0.6034 0.6034
In1 0.2583 0.2583 0.2583
In2 0.7417 0.7417 0.7417



Q: total magnetic moment of number 4 (Pr2HoCd2In2)?
A: 0.0 μB per formula unit